Here is an optimized crystal structure of KBe3Cr from Alexandria. Energies are from PBE.

a = 4.6381 Å, b = 4.6381 Å, c = 4.6381 Å
α = 90.00°, β = 90.00°, γ = 90.00°
Last column: nearest neighbours and their distance in Å.
Fractional positions:
K  0.0000  0.0000  0.0000  12 Be 3.28
Be  0.0000  0.5000  0.5000  2 Cr 2.32
Be  0.5000  0.0000  0.5000  2 Cr 2.32
Be  0.5000  0.5000  0.0000  2 Cr 2.32
Cr  0.5000  0.5000  0.5000  6 Be 2.32

## Properties
DFT total energy   -0.1182 hartree per atom
Volume   100 Å³ per cell
Space group   Pm-3m, No. 221
DOS(E_F)   0.732 states/eV/atom
Energy relative to the lowest polymorph listed for this composition   0 meV/atom
Total magnetization   4.1 μB per cell

Here is an optimized crystal structure of HgMo4 from Alexandria. Energies are from PBE.

a = 4.8606 Å, b = 4.8606 Å, c = 4.8606 Å
α = 90.00°, β = 90.00°, γ = 90.00°
Last column: nearest neighbours and their distance in Å.
Fractional positions:
Hg  0.0000  0.0000  0.0000  6 Mo 2.43
Mo  0.0000  0.0000  0.5000  2 Hg 2.43
Mo  0.0000  0.5000  0.0000  2 Hg 2.43
Mo  0.5000  0.0000  0.0000  2 Hg 2.43
Mo  0.5000  0.5000  0.5000  12 Mo 3.44

## Properties
DFT total energy   -0.2136 hartree per atom
Volume   115 Å³ per cell
Space group   Pm-3m, No. 221
DOS(E_F)   2.088 states/eV/atom
Energy relative to the lowest polymorph listed for this composition   2477 meV/atom
Total magnetization   0.7 μB per cell

Here is an optimized crystal structure of Pm5Hg from Alexandria. Energies are from PBE.

a = 6.6742 Å, b = 6.6742 Å, c = 6.8642 Å
α = 119.72°, β = 119.72°, γ = 48.94°
Last column: nearest neighbours and their distance in Å.
Fractional positions:
Pm  0.0000  0.0000  0.0000  2 Hg 3.30, 3 Pm 3.40-3.62
Pm  0.0564  0.0564  0.5421  1 Hg 3.17, 3 Pm 3.35-3.40
Pm  0.3557  0.3557  0.2090  2 Hg 3.43, 6 Pm 3.57-3.74
Pm  0.6554  0.6554  0.8721  1 Hg 3.17, 3 Pm 3.35-3.40
Pm  0.7112  0.7112  0.4136  2 Hg 3.31, 3 Pm 3.40-3.62
Hg  0.3561  0.3561  0.7094  8 Pm 3.17-3.43

## Properties
DFT total energy   -0.1513 hartree per atom
Volume   193 Å³ per cell
Space group   Cm, No. 8
DOS(E_F)   1.176 states/eV/atom
Energy relative to the lowest polymorph listed for this composition   40 meV/atom
Total magnetization   0.0 μB per cell

Here is an optimized crystal structure of CaGa2BiO6 from Alexandria. Energies are from PBE.

a = 5.6125 Å, b = 5.6125 Å, c = 5.6125 Å
α = 58.60°, β = 58.60°, γ = 58.60°
Last column: nearest neighbours and their distance in Å.
Fractional positions:
Ca  0.0000  0.0000  0.0000  6 O 2.33-2.48
Ga  0.2316  0.2316  0.2316  6 O 1.96-2.11
Ga  0.7311  0.7311  0.7311  6 O 1.97-2.10
Bi  0.5119  0.5119  0.5119  6 O 2.28-2.30
O  0.0700  0.4587  0.8758  2 Ga 1.97-2.11
O  0.3875  0.9451  0.5591  2 Ga 1.96-2.10
O  0.4587  0.8758  0.0700  2 Ga 1.97-2.11
O  0.5591  0.3875  0.9451  2 Ga 1.96-2.10
O  0.8758  0.0700  0.4587  2 Ga 1.97-2.11
O  0.9451  0.5591  0.3875  2 Ga 1.96-2.10

## Properties
DFT total energy   -0.2189 hartree per atom
Volume   121 Å³ per cell
Space group   R3, No. 146
DOS(E_F)   0.214 states/eV/atom
Total magnetization   0.9 μB per cell
Energy relative to the elements, uncorrected   -1.79 eV per atom

Here is an optimized crystal structure of CeHoAlHg from Alexandria. Energies are from PBE.

a = 5.2578 Å, b = 5.2578 Å, c = 5.2578 Å
α = 60.00°, β = 60.00°, γ = 60.00°
Last column: nearest neighbours and their distance in Å.
Fractional positions:
Ce  0.0000  0.0000  0.0000  4 Hg 3.22, 4 Al 3.22
Ho  0.5000  0.5000  0.5000  4 Hg 3.22, 4 Al 3.22
Al  0.2500  0.2500  0.2500  4 Ce 3.22, 4 Ho 3.22
Hg  0.7500  0.7500  0.7500  4 Ce 3.22, 4 Ho 3.22

## Properties
DFT total energy   -0.1454 hartree per atom
Volume   103 Å³ per cell
Space group   F-43m, No. 216
DOS(E_F)   2.311 states/eV/atom
Total magnetization   0.7 μB per cell

Here is an optimized crystal structure of LiCa2PbO5 from Alexandria. Energies are from PBE.

a = 6.7709 Å, b = 6.7709 Å, c = 10.2101 Å
α = 90.00°, β = 90.00°, γ = 150.79°
Last column: nearest neighbours and their distance in Å.
Fractional positions:
Li  0.0002  0.9998  0.0000  4 O 1.84-2.03
Li  0.9998  0.0002  0.5000  4 O 1.84-2.03
Ca  0.3686  0.6314  0.8569  7 O 2.48-2.51
Ca  0.3906  0.6094  0.2141  6 O 2.36-2.59
Ca  0.6094  0.3906  0.7141  6 O 2.36-2.59
Ca  0.6314  0.3686  0.3569  7 O 2.48-2.51
Pb  0.3153  0.6847  0.5471  6 O 2.09-2.32
Pb  0.6847  0.3153  0.0471  6 O 2.09-2.32
O  0.0000  0.0000  0.3043  1 Li 2.00
O  0.0000  0.0000  0.8043  1 Li 2.00
O  0.1527  0.8473  0.5317  1 Li 2.03, 1 Pb 2.14
O  0.1795  0.8205  0.8960  2 Pb 2.30, 1 Ca 2.51, 1 O 2.53
O  0.2002  0.7998  0.1990  2 Pb 2.32, 3 Ca 2.50-2.51
O  0.4747  0.5253  0.5603  2 Li 1.84
O  0.5253  0.4747  0.0603  2 Li 1.84
O  0.7998  0.2002  0.6990  2 Pb 2.32, 3 Ca 2.50-2.51
O  0.8205  0.1795  0.3960  2 Pb 2.30, 1 Ca 2.51, 1 O 2.53
O  0.8473  0.1527  0.0317  1 Li 2.03, 1 Pb 2.14

## Properties
DFT total energy   -0.2086 hartree per atom
Volume   228 Å³ per cell
Space group   Cmc2_1, No. 36
Total magnetization   2.1 μB per cell
Energy relative to the elements, uncorrected   -1.85 eV per atom

total magnetization of number 5 (CeHoAlHg)? 0.7 μB per cell

What did the fifth record say?
Here is an optimized crystal structure of CeHoAlHg from Alexandria. Energies are from PBE.

a = 5.2578 Å, b = 5.2578 Å, c = 5.2578 Å
α = 60.00°, β = 60.00°, γ = 60.00°
Last column: nearest neighbours and their distance in Å.
Fractional positions:
Ce  0.0000  0.0000  0.0000  4 Hg 3.22, 4 Al 3.22
Ho  0.5000  0.5000  0.5000  4 Hg 3.22, 4 Al 3.22
Al  0.2500  0.2500  0.2500  4 Ce 3.22, 4 Ho 3.22
Hg  0.7500  0.7500  0.7500  4 Ce 3.22, 4 Ho 3.22

## Properties
DFT total energy   -0.1454 hartree per atom
Volume   103 Å³ per cell
Space group   F-43m, No. 216
DOS(E_F)   2.311 states/eV/atom
Total magnetization   0.7 μB per cell

Number 3 is which compound? Pm5Hg